Material: LaNdDyCo
Method: DFT, GGA-PBE
State: relaxed

Geometry as POSCAR:
```
LaNdDyCo
1.0
3.263 -1.894 0.000
3.263 1.894 0.000
0.000 0.000 9.541
La Nd Dy Co
1 1 1 1
direct
0.000 0.000 0.000
0.664 0.664 0.332
0.664 0.664 0.685
0.999 0.999 0.513
```

Computed properties:
ΔH_f (0 K)	7.5	kJ/mol of atoms
magnetization	0.00	μB/f.u.